Density functional theory data (GGA-PBE) for an optimized crystal structure of Cs2SrGeCl6.

abc: 7.8426 7.8426 7.8426
angles: 60.00 60.00 60.00
Sites, in units of the cell vectors:
Cs: 0.2500 0.2500 0.2500
Cs: 0.7500 0.7500 0.7500
Sr: 0.0000 0.0000 0.0000
Ge: 0.5000 0.5000 0.5000
Cl: 0.2583 0.2583 0.7417
Cl: 0.2583 0.7417 0.2583
Cl: 0.2583 0.7417 0.7417
Cl: 0.7417 0.2583 0.2583
Cl: 0.7417 0.2583 0.7417
Cl: 0.7417 0.7417 0.2583

SG = Fm-3m, No. 225
ΔE_f (raw) = -1.80 eV/atom
DOS at the Fermi energy = 0.00 states/eV per cell

=====

Density functional theory data (GGA-PBE) for an optimized crystal structure of Cs3SrGe2Cl9.

abc: 7.7384 7.7384 9.5082
angles: 90.00 90.00 120.00
Sites, in units of the cell vectors:
Cs: 0.0000 0.0000 0.0000
Cs: 0.3333 0.6667 0.6784
Cs: 0.6667 0.3333 0.3216
Sr: 0.0000 0.0000 0.5000
Ge: 0.3333 0.6667 0.1589
Ge: 0.6667 0.3333 0.8411
Cl: 0.0000 0.5000 0.0000
Cl: 0.1732 0.3463 0.3241
Cl: 0.1732 0.8268 0.3241
Cl: 0.3463 0.1732 0.6759
Cl: 0.5000 0.0000 0.0000
Cl: 0.5000 0.5000 0.0000
Cl: 0.6537 0.8268 0.3241
Cl: 0.8268 0.1732 0.6759
Cl: 0.8268 0.6537 0.6759

SG = P-3m1, No. 164
ΔE_f (raw) = -1.64 eV/atom
DOS at the Fermi energy = 0.00 states/eV per cell

=====

Density functional theory data (GGA-PBE) for an optimized crystal structure of Cs2TaGeCl6.

abc: 8.0381 8.0381 8.0381
angles: 126.06 126.06 79.79
Sites, in units of the cell vectors:
Cs: 0.2500 0.7500 0.5000
Cs: 0.7500 0.2500 0.5000
Ta: 0.0000 0.0000 0.0000
Ge: 0.5000 0.5000 0.0000
Cl: 0.2002 0.2002 0.0000
Cl: 0.2394 0.2394 0.4789
Cl: 0.2394 0.7606 0.0000
Cl: 0.7606 0.2394 0.0000
Cl: 0.7606 0.7606 0.5211
Cl: 0.7998 0.7998 0.0000

SG = I4/mmm, No. 139
ΔE_f (raw) = -1.19 eV/atom
DOS at the Fermi energy = 5.70 states/eV per cell

=====

Density functional theory data (GGA-PBE) for an optimized crystal structure of CsTbGeCl6.

abc: 7.0540 7.0540 7.7118
angles: 90.00 90.00 120.00
Sites, in units of the cell vectors:
Cs: 0.0000 0.0000 0.0000
Tb: 0.3333 0.6667 0.5000
Ge: 0.6667 0.3333 0.5000
Cl: 0.0027 0.3811 0.3017
Cl: 0.0027 0.6216 0.6983
Cl: 0.3784 0.3811 0.6983
Cl: 0.3784 0.9973 0.3017
Cl: 0.6189 0.6216 0.3017
Cl: 0.6189 0.9973 0.6983

SG = P312, No. 149
ΔE_f (raw) = -1.77 eV/atom
DOS at the Fermi energy = 0.00 states/eV per cell

=====

Density functional theory data (GGA-PBE) for an optimized crystal structure of Cs4TlGe3Cl12.

abc: 9.3646 9.3646 9.3646
angles: 109.47 109.47 109.47
Sites, in units of the cell vectors:
Cs: 0.0000 0.0000 0.5000
Cs: 0.0000 0.5000 0.0000
Cs: 0.5000 0.0000 0.0000
Cs: 0.5000 0.5000 0.5000
Tl: 0.0000 0.0000 0.0000
Ge: 0.0000 0.5000 0.5000
Ge: 0.5000 0.0000 0.5000
Ge: 0.5000 0.5000 0.0000
Cl: 0.0000 0.2643 0.2643
Cl: 0.0000 0.7357 0.7357
Cl: 0.2500 0.5000 0.7500
Cl: 0.2500 0.7500 0.5000
Cl: 0.2643 0.0000 0.2643
Cl: 0.2643 0.2643 0.0000
Cl: 0.5000 0.2500 0.7500
Cl: 0.5000 0.7500 0.2500
Cl: 0.7357 0.0000 0.7357
Cl: 0.7357 0.7357 0.0000
Cl: 0.7500 0.2500 0.5000
Cl: 0.7500 0.5000 0.2500

SG = Im-3m, No. 229
ΔE_f (raw) = -1.32 eV/atom
DOS at the Fermi energy = 2.48 states/eV per cell

=====

Density functional theory data (GGA-PBE) for an optimized crystal structure of CsTlGeCl6.

abc: 7.6186 7.6186 6.8422
angles: 90.00 90.00 120.00
Sites, in units of the cell vectors:
Cs: 0.0000 0.0000 0.0000
Tl: 0.3333 0.6667 0.5000
Ge: 0.6667 0.3333 0.5000
Cl: 0.4179 0.0825 0.6989
Cl: 0.4179 0.3354 0.3011
Cl: 0.6646 0.0825 0.3011
Cl: 0.6646 0.5821 0.6989
Cl: 0.9175 0.3354 0.6989
Cl: 0.9175 0.5821 0.3011

SG = P312, No. 149
ΔE_f (raw) = -1.11 eV/atom
DOS at the Fermi energy = 0.00 states/eV per cell

=====

Density functional theory data (GGA-PBE) for an optimized crystal structure of Cs3Tl3GeCl8.

abc: 9.2822 9.2822 9.2822
angles: 62.35 62.35 62.35
Sites, in units of the cell vectors:
Cs: 0.0000 0.5000 0.5000
Cs: 0.5000 0.0000 0.5000
Cs: 0.5000 0.5000 0.0000
Tl: 0.0000 0.0000 0.5000
Tl: 0.0000 0.5000 0.0000
Tl: 0.5000 0.0000 0.0000
Ge: 0.0000 0.0000 0.0000
Cl: 0.1953 0.7938 0.7938
Cl: 0.2062 0.2062 0.8047
Cl: 0.2062 0.8047 0.2062
Cl: 0.2425 0.2425 0.2425
Cl: 0.7575 0.7575 0.7575
Cl: 0.7938 0.1953 0.7938
Cl: 0.7938 0.7938 0.1953
Cl: 0.8047 0.2062 0.2062

SG = R-3m, No. 166
ΔE_f (raw) = -1.35 eV/atom
DOS at the Fermi energy = 0.00 states/eV per cell

=====

Density functional theory data (GGA-PBE) for an optimized crystal structure of Cs2TlGe2Cl7.

abc: 5.3921 5.3921 14.3002
angles: 100.02 100.02 89.77
Sites, in units of the cell vectors:
Cs: 0.1826 0.1826 0.3621
Cs: 0.8174 0.8174 0.6379
Tl: 0.0000 0.0000 0.0000
Ge: 0.3884 0.3884 0.8074
Ge: 0.6116 0.6116 0.1926
Cl: 0.0591 0.5935 0.1834
Cl: 0.2982 0.2982 0.6146
Cl: 0.4065 0.9409 0.8166
Cl: 0.5000 0.5000 0.0000
Cl: 0.5935 0.0591 0.1834
Cl: 0.7018 0.7018 0.3854
Cl: 0.9409 0.4065 0.8166

SG = C2/m, No. 12
ΔE_f (raw) = -1.26 eV/atom
DOS at the Fermi energy = 0.00 states/eV per cell

=====

Density functional theory data (GGA-PBE) for an optimized crystal structure of CsTmGeCl6.

abc: 6.9842 6.9842 7.7352
angles: 90.00 90.00 120.00
Sites, in units of the cell vectors:
Cs: 0.0000 0.0000 0.0000
Tm: 0.6667 0.3333 0.5000
Ge: 0.3333 0.6667 0.5000
Cl: 0.3823 0.0081 0.6950
Cl: 0.3823 0.3742 0.3050
Cl: 0.6258 0.0081 0.3050
Cl: 0.6258 0.6177 0.6950
Cl: 0.9919 0.3742 0.6950
Cl: 0.9919 0.6177 0.3050

SG = P312, No. 149
ΔE_f (raw) = -1.77 eV/atom
DOS at the Fermi energy = 0.00 states/eV per cell

=====

Density functional theory data (GGA-PBE) for an optimized crystal structure of Cs2VGeCl6.

abc: 7.3672 7.3672 7.3672
angles: 60.00 60.00 60.00
Sites, in units of the cell vectors:
Cs: 0.2500 0.2500 0.2500
Cs: 0.7500 0.7500 0.7500
V: 0.0000 0.0000 0.0000
Ge: 0.5000 0.5000 0.5000
Cl: 0.2420 0.2420 0.7580
Cl: 0.2420 0.7580 0.2420
Cl: 0.2420 0.7580 0.7580
Cl: 0.7580 0.2420 0.2420
Cl: 0.7580 0.2420 0.7580
Cl: 0.7580 0.7580 0.2420

SG = Fm-3m, No. 225
ΔE_f (raw) = -1.39 eV/atom
DOS at the Fermi energy = 0.00 states/eV per cell

=====

Density functional theory data (GGA-PBE) for an optimized crystal structure of Cs2YGeCl6.

abc: 8.2438 8.2438 8.2438
angles: 125.43 125.43 80.82
Sites, in units of the cell vectors:
Cs: 0.2500 0.7500 0.5000
Cs: 0.7500 0.2500 0.5000
Y: 0.0000 0.0000 0.0000
Ge: 0.5000 0.5000 0.0000
Cl: 0.2097 0.2097 0.0000
Cl: 0.2479 0.2479 0.4959
Cl: 0.2479 0.7521 0.0000
Cl: 0.7521 0.2479 0.0000
Cl: 0.7521 0.7521 0.5041
Cl: 0.7903 0.7903 0.0000

SG = I4/mmm, No. 139
ΔE_f (raw) = -1.71 eV/atom
DOS at the Fermi energy = 0.00 states/eV per cell

=====

Density functional theory data (GGA-PBE) for an optimized crystal structure of CsY2GeCl.

abc: 5.2895 5.2895 5.9476
angles: 90.00 90.00 90.00
Sites, in units of the cell vectors:
Cs: 0.0000 0.0000 0.0000
Y: 0.0000 0.5000 0.5000
Y: 0.5000 0.0000 0.5000
Ge: 0.5000 0.5000 0.0000
Cl: 0.0000 0.0000 0.5000

SG = P4/mmm, No. 123
ΔE_f (raw) = -0.04 eV/atom
DOS at the Fermi energy = 4.42 states/eV per cell

=====

Number 10 is which compound? Cs2VGeCl6